HfTa4Ga4 | PBE | relaxed

Unit cell a=5.1162 b=7.9221 c=7.9221 alpha=90.00 beta=90.00 gamma=90.00
Fractional coordinates of all 18 atoms:
1 Ga 0.5962 0.1228 0.7982
2 Ga 0.9038 0.6228 0.2982
3 Ta 0.8796 0.6560 0.9464
4 Ga 0.9038 0.3772 0.7018
5 Hf 0.0000 0.0000 0.0000
6 Ta 0.3796 0.4464 0.8440
7 Ta 0.1204 0.9464 0.3440
8 Ga 0.4038 0.7982 0.8772
9 Ta 0.6204 0.8440 0.5536
10 Ga 0.0962 0.2982 0.3772
11 Hf 0.5000 0.5000 0.5000
12 Ta 0.1204 0.0536 0.6560
13 Ga 0.0962 0.7018 0.6228
14 Ta 0.3796 0.5536 0.1560
15 Ta 0.8796 0.3440 0.0536
16 Ga 0.4038 0.2018 0.1228
17 Ta 0.6204 0.1560 0.4464
18 Ga 0.5962 0.8772 0.2018

Computed properties:
Its total magnetization is 0.00 μB per atom. The raw total energy is -7.68 eV per atom. For the density of states at the Fermi level, the calculation gives 6.25 states/eV/f.u. The value obtained for the formation energy from the elements is 0.04 eV/atom.

***

K6BrCl2O | PBE | relaxed

Unit cell a=7.7539 b=7.7540 c=8.3675 alpha=62.38 beta=62.38 gamma=60.00
Fractional coordinates of all 10 atoms:
1 K 0.2285 0.9880 0.2340
2 Cl 0.5293 0.5293 0.4121
3 Cl 0.0013 0.0013 0.9961
4 K 0.6928 0.1542 0.7706
5 K 0.3824 0.6928 0.7705
6 K 0.1542 0.3824 0.7707
7 K 0.9881 0.5494 0.2340
8 O 0.3309 0.3309 0.0075
9 K 0.5495 0.2286 0.2339
10 Br 0.8048 0.8048 0.5857

Computed properties:
Its total magnetization is 0.06 μB per atom. The raw total energy is -3.07 eV per atom. For the density of states at the Fermi level, the calculation gives 2.34 states/eV/f.u.

***

Ca3Zn4Cd7 | PBE | relaxed

Unit cell a=4.6164 b=8.7426 c=9.0329 alpha=67.13 beta=75.19 gamma=74.69
Fractional coordinates of all 14 atoms:
1 Ca 0.0000 0.5000 0.5000
2 Cd 0.4975 0.2101 0.7950
3 Zn 0.3357 0.5417 0.7869
4 Ca 0.6968 0.8032 0.8032
5 Zn 0.1262 0.0837 0.6639
6 Cd 0.8514 0.3778 0.9194
7 Cd 0.0000 0.0000 0.0000
8 Cd 0.3241 0.8274 0.5245
9 Cd 0.1486 0.6222 0.0806
10 Zn 0.8738 0.9163 0.3362
11 Cd 0.5025 0.7899 0.2050
12 Zn 0.6643 0.4583 0.2131
13 Ca 0.3032 0.1968 0.1968
14 Cd 0.6759 0.1726 0.4755

Computed properties:
Its total magnetization is 0.00 μB per atom. The raw total energy is -1.48 eV per atom. For the density of states at the Fermi level, the calculation gives 5.46 states/eV/f.u. The value obtained for the formation energy from the elements is -0.23 eV/atom.

***

Nd2ScTl3S6 | PBE | relaxed

Unit cell a=7.0345 b=7.0345 c=7.8420 alpha=98.60 beta=98.60 gamma=119.90
Fractional coordinates of all 12 atoms:
1 S 0.0659 0.3773 0.1969
2 S 0.3773 0.0659 0.1969
3 Tl 0.8312 0.1688 0.5000
4 Nd 0.3334 0.6666 0.0000
5 Tl 0.5000 0.5000 0.5000
6 S 0.2452 0.2452 0.7976
7 Tl 0.1688 0.8312 0.5000
8 Sc 0.0000 0.0000 0.0000
9 S 0.9341 0.6227 0.8031
10 S 0.7548 0.7548 0.2024
11 S 0.6227 0.9341 0.8031
12 Nd 0.6666 0.3334 0.0000

Computed properties:
Its total magnetization is 0.00 μB per atom. The raw total energy is -5.39 eV per atom. For the density of states at the Fermi level, the calculation gives 0.00 states/eV/f.u.

***

FeAgAs2I | PBE | relaxed

Unit cell a=4.4238 b=5.8198 c=4.4238 alpha=90.00 beta=90.00 gamma=90.00
Last column: magnetic moment on the atom in μB.
Fractional coordinates of all 5 atoms:
1 As 0.5000 0.0000 0.0000  -0.04
2 Fe 0.0000 0.0000 0.0000  0.81
3 Ag 0.0000 0.5000 0.0000  0.02
4 I 0.5000 0.5000 0.5000  0.03
5 As 0.0000 0.0000 0.5000  0.04

Computed properties:
Its total magnetization is 0.18 μB per atom. The raw total energy is -4.08 eV per atom. For the density of states at the Fermi level, the calculation gives 3.57 states/eV/f.u.

***

Mg2CuIr | PBE | relaxed

Unit cell a=3.2205 b=3.2205 c=6.1945 alpha=90.00 beta=90.00 gamma=90.00
Fractional coordinates of all 4 atoms:
1 Cu 0.0000 0.0000 0.5130
2 Ir 0.5000 0.5000 0.7385
3 Mg 0.5000 0.5000 0.2893
4 Mg 0.0000 0.0000 0.9592

Computed properties:
Its total magnetization is 0.00 μB per atom. The raw total energy is -4.12 eV per atom. For the density of states at the Fermi level, the calculation gives 1.05 states/eV/f.u. The value obtained for the formation energy from the elements is -0.08 eV/atom.

***

CdSb2Pt | PBE | relaxed

Unit cell a=3.3026 b=3.3027 c=8.5943 alpha=90.00 beta=90.00 gamma=90.00
Fractional coordinates of all 4 atoms:
1 Pt 0.5000 0.5000 0.7516
2 Sb 0.5000 0.5000 0.2796
3 Cd 0.0000 0.0000 0.5403
4 Sb 0.0000 0.0000 0.9285

Computed properties:
Its total magnetization is 0.00 μB per atom. The raw total energy is -3.89 eV per atom. For the density of states at the Fermi level, the calculation gives 0.67 states/eV/f.u.

***

HgWS3 | PBE | relaxed

Unit cell a=4.7301 b=4.7301 c=4.7301 alpha=90.00 beta=90.00 gamma=90.00
Fractional coordinates of all 5 atoms:
1 S 0.0000 0.0000 0.5000
2 W 0.0000 0.0000 0.0000
3 S 0.5000 0.0000 0.0000
4 Hg 0.5000 0.5000 0.5000
5 S 0.0000 0.5000 0.0000

Computed properties:
Its total magnetization is 0.00 μB per atom. The raw total energy is -5.08 eV per atom. For the density of states at the Fermi level, the calculation gives 4.28 states/eV/f.u.

***

Dy3Y2TmSe6 | PBE | relaxed

Unit cell a=4.0580 b=8.1698 c=9.0917 alpha=103.07 beta=102.90 gamma=90.00
Fractional coordinates of all 12 atoms:
1 Y 0.1679 0.3349 0.3358
2 Se 0.0007 0.7545 0.0014
3 Se 0.6643 0.0811 0.3286
4 Dy 0.1687 0.8330 0.3374
5 Y 0.8321 0.6651 0.6642
6 Se 0.9993 0.2455 0.9986
7 Se 0.3357 0.9189 0.6714
8 Se 0.6658 0.5836 0.3316
9 Tm 0.5000 0.0000 0.0000
10 Dy 0.5000 0.5000 0.0000
11 Dy 0.8313 0.1670 0.6626
12 Se 0.3342 0.4164 0.6684

Computed properties:
Its total magnetization is 0.00 μB per atom. The raw total energy is -6.08 eV per atom. For the density of states at the Fermi level, the calculation gives 5.71 states/eV/f.u.

***

GdBS3O12 | PBE | relaxed

Unit cell a=9.0335 b=9.0335 c=11.1557 alpha=87.71 beta=87.71 gamma=80.02
Last column: magnetic moment on the atom in μB.
Fractional coordinates of all 68 atoms:
1 O 0.7873 0.2874 0.1152  0.00
2 O 0.2620 0.4888 0.7722  0.00
3 O 0.2127 0.7126 0.8848  0.00
4 O 0.5327 0.7060 0.9774  0.01
5 B 0.1729 0.8322 0.5255  0.00
6 O 0.1999 0.1725 0.3137  0.00
7 O 0.2940 0.8472 0.0462  0.00
8 B 0.8322 0.1729 0.0255  0.00
9 O 0.8001 0.8275 0.6863  0.00
10 Gd 0.7345 0.6404 0.8457  6.92
11 O 0.7060 0.1528 0.9538  0.00
12 O 0.8369 0.5243 0.0224  0.01
13 O 0.4888 0.2620 0.2722  0.00
14 S 0.5711 0.2759 0.9184  0.00
15 S 0.1374 0.1188 0.4248  0.00
16 B 0.1678 0.8271 0.9745  0.00
17 O 0.8021 0.8452 0.9673  0.00
18 O 0.1631 0.4757 0.9776  0.01
19 Gd 0.3596 0.2655 0.6543  6.92
20 O 0.7889 0.0472 0.5612  0.00
21 O 0.4757 0.1631 0.4776  0.01
22 O 0.8275 0.8001 0.1863  0.00
23 S 0.8433 0.4381 0.1368  0.00
24 O 0.1548 0.1979 0.5327  0.00
25 S 0.4289 0.7241 0.0816  0.00
26 S 0.8812 0.8626 0.0752  0.00
27 O 0.5069 0.2076 0.8202  0.00
28 O 0.1979 0.1548 0.0327  0.00
29 O 0.4138 0.6265 0.3824  0.00
30 Gd 0.2655 0.3596 0.1543  6.92
31 S 0.4381 0.8433 0.6368  0.00
32 O 0.7060 0.5327 0.4774  0.01
33 O 0.2111 0.9528 0.4388  0.00
34 O 0.9528 0.2111 0.9388  0.00
35 O 0.4673 0.2940 0.0226  0.01
36 O 0.2874 0.7873 0.6152  0.00
37 O 0.7126 0.2127 0.3848  0.00
38 O 0.1141 0.9706 0.9055  0.00
39 O 0.5243 0.8369 0.5224  0.01
40 O 0.6008 0.0031 0.3207  0.00
41 O 0.5112 0.7380 0.7278  0.00
42 O 0.9706 0.1141 0.4055  0.00
43 S 0.7241 0.4289 0.5816  0.00
44 S 0.5619 0.1567 0.3632  0.00
45 O 0.7924 0.4931 0.6798  0.00
46 O 0.0031 0.6008 0.8207  0.00
47 O 0.2076 0.5069 0.3202  0.00
48 O 0.6265 0.4138 0.8824  0.00
49 B 0.8271 0.1678 0.4745  0.00
50 O 0.2940 0.4673 0.5226  0.01
51 O 0.0294 0.8859 0.5945  0.00
52 O 0.8859 0.0294 0.0945  0.00
53 O 0.4931 0.7924 0.1798  0.00
54 O 0.8472 0.2940 0.5462  0.00
55 O 0.9969 0.3992 0.1793  0.00
56 S 0.2759 0.5711 0.4184  0.00
57 O 0.3735 0.5862 0.1176  0.00
58 O 0.5862 0.3735 0.6176  0.00
59 O 0.7380 0.5112 0.2278  0.00
60 O 0.8452 0.8021 0.4673  0.00
61 S 0.1567 0.5619 0.8632  0.00
62 Gd 0.6404 0.7345 0.3457  6.92
63 S 0.1188 0.1374 0.9248  0.00
64 O 0.1528 0.7060 0.4538  0.00
65 O 0.0472 0.7889 0.0612  0.00
66 O 0.3992 0.9969 0.6793  0.00
67 O 0.1725 0.1999 0.8137  0.00
68 S 0.8626 0.8812 0.5752  0.00

Computed properties:
Its total magnetization is 0.41 μB per atom. The raw total energy is -7.28 eV per atom. For the density of states at the Fermi level, the calculation gives 0.00 states/eV/f.u.

***

BaLiLa2Ag | PBE | relaxed

Unit cell a=5.7720 b=5.0304 c=5.7720 alpha=90.00 beta=90.00 gamma=90.00
Last column: magnetic moment on the atom in μB.
Fractional coordinates of all 5 atoms:
1 La 0.0000 0.0000 0.5000  0.11
2 La 0.5000 0.0000 0.0000  0.12
3 Ba 0.5000 0.5000 0.5000  0.03
4 Ag 0.0000 0.5000 0.0000  0.01
5 Li 0.0000 0.0000 0.0000  0.03

Computed properties:
Its total magnetization is 0.14 μB per atom. The raw total energy is -2.99 eV per atom. For the density of states at the Fermi level, the calculation gives 8.79 states/eV/f.u. The value obtained for the formation energy from the elements is 0.32 eV/atom.

***

La3DyS | PBE | relaxed

Unit cell a=5.5960 b=5.5960 c=5.5960 alpha=90.00 beta=90.00 gamma=90.00
Fractional coordinates of all 5 atoms:
1 La 0.0000 0.0000 0.5000
2 La 0.5000 0.0000 0.0000
3 S 0.0000 0.0000 0.0000
4 La 0.0000 0.5000 0.0000
5 Dy 0.5000 0.5000 0.5000

Computed properties:
Its total magnetization is 0.00 μB per atom. The raw total energy is -5.41 eV per atom. For the density of states at the Fermi level, the calculation gives 5.89 states/eV/f.u.

***

SmTh2Bi | PBE | relaxed

Unit cell a=3.5178 b=3.5178 c=12.8074 alpha=82.11 beta=82.11 gamma=60.00
Fractional coordinates of all 4 atoms:
1 Th 0.0870 0.0870 0.7391
2 Sm 0.5000 0.5000 0.5000
3 Th 0.9130 0.9130 0.2609
4 Bi 0.0000 0.0000 0.0000

Computed properties:
Its total magnetization is 0.00 μB per atom. The raw total energy is -5.72 eV per atom. For the density of states at the Fermi level, the calculation gives 5.42 states/eV/f.u. The value obtained for the formation energy from the elements is 0.14 eV/atom.

***

TbDy6Y2 | PBE | relaxed

Unit cell a=3.5535 b=8.6884 c=12.7968 alpha=132.78 beta=82.02 gamma=90.07
Fractional coordinates of all 9 atoms:
1 Y 0.4439 0.7775 0.1115
2 Dy 0.6668 0.6666 0.6662
3 Tb 0.0000 0.0000 0.0000
4 Dy 0.2230 0.8884 0.5546
5 Y 0.5561 0.2225 0.8885
6 Dy 0.3332 0.3334 0.3338
7 Dy 0.1115 0.4445 0.7764
8 Dy 0.7770 0.1116 0.4454
9 Dy 0.8885 0.5555 0.2236

Computed properties:
Its total magnetization is 0.00 μB per atom. The raw total energy is -5.00 eV per atom. For the density of states at the Fermi level, the calculation gives 12.64 states/eV/f.u. The value obtained for the formation energy from the elements is 0.02 eV/atom.